{"formula": "BaLuAuSeS2", "functional": "GGA-PBE", "state": "optimized geometry", "energy_ev_per_atom": -5.080, "mass_density_g_cm3": 7.112, "spacegroup": "Cmcm", "lattice_angstrom": [[0.867, 4.142, -5.993], [-2.144, -0.370, 7.007], [9.749, 2.463, 3.113]], "species": ["Au", "Au", "Ba", "Ba", "Lu", "Lu", "S", "S", "S", "S", "Se", "Se"], "fractional_positions": [[0.954, 0.046, 0.250], [0.046, 0.954, 0.750], [0.256, 0.744, 0.250], [0.744, 0.256, 0.750], [0.500, 0.500, 0.000], [0.500, 0.500, 0.500], [0.872, 0.128, 0.044], [0.872, 0.128, 0.456], [0.128, 0.872, 0.544], [0.128, 0.872, 0.956], [0.579, 0.421, 0.250], [0.421, 0.579, 0.750]]}